No. 1
LiCuNF2 after structural relaxation. Source: Alexandria via LeMat-Bulk, functional GGA-PBE.

```
LiCuNF2
1.0
3.587 0.000 0.000
0.000 3.587 0.000
0.000 0.000 4.039
Li Cu N F
1 1 1 2
direct
0.000 0.000 0.000
0.500 0.500 0.500
0.000 0.000 0.500
0.000 0.500 0.000
0.500 0.000 0.000
```

E_form (uncorrected), eV/atom: -0.2720
Energy above the most stable polymorph in this dataset, meV/atom: 400

=====

No. 2
NaHgPb4 after structural relaxation. Source: Alexandria via LeMat-Bulk, functional GGA-PBE.

```
NaHgPb4
1.0
5.492 -2.830 0.000
5.492 2.830 0.000
-3.895 0.000 11.462
Na Hg Pb
2 2 8
direct
0.140 0.860 0.750
0.860 0.140 0.250
0.000 0.500 0.500
0.500 0.000 0.000
0.169 0.655 0.004
0.198 0.466 0.251
0.345 0.831 0.496
0.466 0.198 0.751
0.534 0.802 0.249
0.655 0.169 0.504
0.802 0.534 0.749
0.831 0.345 0.996
```

Energy above the most stable polymorph in this dataset, meV/atom: 0

=====

No. 3
Na2HoGaCl6 after structural relaxation. Source: Alexandria via LeMat-Bulk, functional GGA-PBE.

```
Na2HoGaCl6
1.0
3.558 2.054 6.476
-3.558 2.054 6.476
0.000 -4.109 6.476
Na Ho Ga Cl
2 1 1 6
direct
0.000 0.000 0.000
0.488 0.488 0.488
0.685 0.685 0.685
0.199 0.199 0.199
0.062 0.430 0.772
0.300 0.877 0.615
0.430 0.772 0.062
0.615 0.300 0.877
0.772 0.062 0.430
0.877 0.615 0.300
```

E_form (uncorrected), eV/atom: -1.7836

=====

No. 4
CuPd2Se after structural relaxation. Source: Alexandria via LeMat-Bulk, functional GGA-PBE.

```
CuPd2Se
1.0
3.060 0.000 0.000
-1.530 2.650 0.000
0.000 0.000 23.522
Cu Pd Se
3 6 3
direct
0.000 0.000 0.000
0.333 0.667 0.667
0.667 0.333 0.333
0.000 0.000 0.584
0.000 0.000 0.750
0.333 0.667 0.251
0.333 0.667 0.416
0.667 0.333 0.083
0.667 0.333 0.917
0.000 0.000 0.167
0.333 0.667 0.834
0.667 0.333 0.501
```

E_form (uncorrected), eV/atom: 0.0047